Density functional theory data (GGA-PBE) for a relaxed TmTlPd4 crystal.

a b c (Å): 4.9849 8.8818 5.0167
angles (deg): 90.00 103.29 90.00
Fractional positions:
Pd 0.9997 0.1675 0.4999
Tm 0.5000 0.5000 0.0000
Pd 0.5000 0.8333 0.0000
Pd 0.0003 0.8325 0.5001
Pd 0.0000 0.3333 0.0000
Tm 0.0000 0.0000 0.0000
Tl 0.0000 0.5000 0.5000
Pd 0.0000 0.6667 0.0000
Pd 0.5003 0.6675 0.5001
Tl 0.5000 0.0000 0.5000
Pd 0.5000 0.1667 0.0000
Pd 0.4997 0.3325 0.4999

Calculated values
E above lowest polymorph	33	meV per atom

---

Density functional theory data (GGA-PBE) for a relaxed ScCd2Ir crystal.

a b c (Å): 4.7147 4.7147 4.7147
angles (deg): 60.00 60.00 60.00
Fractional positions:
Cd 0.7500 0.7500 0.7500
Sc 0.0000 0.0000 0.0000
Cd 0.2500 0.2500 0.2500
Ir 0.5000 0.5000 0.5000

---

Density functional theory data (GGA-PBE) for a relaxed PrHo2UO8 crystal.

a b c (Å): 3.9087 5.3248 7.6733
angles (deg): 90.00 90.00 90.04
Each line ends with the local moment (μB).
Fractional positions:
O 0.5000 0.7260 0.5000  0.33
O 0.9996 0.2447 0.7780  0.01
O 0.9996 0.2447 0.2220  0.01
Pr 0.0000 0.0000 0.5000  0.01
O 0.5000 0.2740 0.5000  0.33
Ho 0.5000 0.5000 0.2376  -0.01
O 0.5005 0.7670 0.0000  0.01
O 0.0004 0.7553 0.7780  0.01
U 0.0000 0.0000 0.0000  0.00
O 0.4995 0.2330 0.0000  0.01
O 0.0004 0.7553 0.2220  0.01
Ho 0.5000 0.5000 0.7624  -0.01

Calculated values
formation energy from raw total energies	-313.3	kJ/mol of atoms

---

Density functional theory data (GGA-PBE) for a relaxed Pu3UO7 crystal.

a b c (Å): 6.6661 6.6661 7.8242
angles (deg): 90.00 90.00 110.11
Each line ends with the local moment (μB).
Fractional positions:
O 0.9065 0.0935 0.2500  -0.06
O 0.6309 0.3691 0.7500  -0.12
Pu 0.9983 0.4776 0.2499  4.83
O 0.6558 0.9052 0.9761  -0.08
O 0.0945 0.3439 0.9758  -0.08
O 0.3442 0.0948 0.4761  -0.08
Pu 0.5000 0.5000 0.0000  4.95
O 0.3651 0.6349 0.7500  -0.13
Pu 0.5000 0.5000 0.5000  4.95
O 0.9055 0.6561 0.4758  -0.08
O 0.9052 0.6558 0.0239  -0.08
O 0.3439 0.0945 0.0242  -0.08
U 0.9999 0.9999 0.0000  1.52
O 0.6561 0.9055 0.5242  -0.08
O 0.3691 0.6309 0.2500  -0.12
Pu 0.0017 0.5224 0.7499  4.83
O 0.0948 0.3442 0.5239  -0.08
Pu 0.4776 0.9983 0.7501  4.83
O 0.6349 0.3651 0.2500  -0.13
Pu 0.5224 0.0017 0.2501  4.83
U 0.0001 0.0001 0.5000  1.52
O 0.0935 0.9065 0.7500  -0.06

Calculated values
formation energy from raw total energies	-303.2	kJ/mol of atoms

---

Density functional theory data (GGA-PBE) for a relaxed Sn3BrO crystal.

a b c (Å): 5.5985 5.5985 5.5985
angles (deg): 90.00 90.00 90.00
Fractional positions:
Sn 0.0000 0.0000 0.5000
O 0.5000 0.5000 0.5000
Sn 0.5000 0.0000 0.0000
Sn 0.0000 0.5000 0.0000
Br 0.0000 0.0000 0.0000

Calculated values
E above lowest polymorph	1169	meV per atom
formation energy from raw total energies	102.1	kJ/mol of atoms

---

Density functional theory data (GGA-PBE) for a relaxed K2PW crystal.

a b c (Å): 11.7423 11.7423 11.7423
angles (deg): 14.52 14.52 14.52
Each line ends with the local moment (μB).
Fractional positions:
K 0.2422 0.2422 0.2422  0.01
K 0.7578 0.7578 0.7578  0.01
W 0.0000 0.0000 0.0000  0.18
P 0.5000 0.5000 0.5000  0.13

Calculated values
E above lowest polymorph	735	meV per atom

---

Number 1: final energy -61.6 eV/cell, DOS(E_F) 5.331 states/eV/cell. Number 2: final energy -17.8 eV/cell, DOS(E_F) 3.509 states/eV/cell. Number 3: final energy -103.9 eV/cell, DOS(E_F) 3.357 states/eV/cell. Number 4: final energy -247.1 eV/cell, DOS(E_F) 37.444 states/eV/cell. Number 5: final energy -13.3 eV/cell, DOS(E_F) 19.135 states/eV/cell. Number 6: final energy -16.2 eV/cell, DOS(E_F) 2.716 states/eV/cell.